Computed, not measured: a relaxed LiMnBO3 crystal at the GGA+U level of DFT.

a b c (Å): 9.6472 3.2388 9.1368
angles (deg): 90.00 90.00 90.00
Last column: nearest neighbours and their distance in Å.
Space group Pnma (No. 62)
Inequivalent atoms, fractional coordinates:
1 Li 0.2080 0.2500 0.1353 x4  4 O 1.95-2.09
2 Mn 0.0545 0.2500 0.7094 x4  5 O 2.14-2.17
3 B 0.2151 0.2500 0.3982 x4  3 O 1.37-1.41
4 O 0.0913 0.2500 0.3170 x4  1 B 1.41
5 O 0.1619 0.7500 0.8188 x4  1 B 1.39
6 O 0.2161 0.2500 0.5485 x4  1 B 1.37

Output
As for the energy above the most stable polymorph in this dataset: 47 meV/atom. The calculation puts the mass density at 2.808 g/cm3.